[1]
DFT (PBE-GGA) results for a geometry-optimized BaCaNi3 structure.

```
BaCaNi3
1.0
4.990 0.000 0.000
0.000 4.990 0.000
0.000 0.000 4.990
Ca Ba Ni
1 1 3
Direct
0.000 0.000 0.000
0.500 0.500 0.500
0.500 0.000 0.000
0.000 0.500 0.000
0.000 0.000 0.500
```

Results
DOS at the Fermi energy = 12.03 states/eV/f.u.
ρ = 4.7 g/cm3
DFT formation energy = 0.806 eV per atom
calculated total energy = -0.127 hartree per atom

[2]
DFT (PBE-GGA) results for a geometry-optimized BaCaNi2 structure.

```
BaCaNi2
1.0
7.764 0.000 0.000
0.000 7.764 0.000
3.882 3.882 3.255
Ni Ca Ba
4 2 2
Direct
0.137 0.625 0.250
0.875 0.863 0.750
0.375 0.387 0.750
0.613 0.125 0.250
0.500 0.500 0.000
0.250 0.750 0.500
0.000 0.000 0.000
0.750 0.250 0.500
```

Results
DOS at the Fermi energy = 0.64 states/eV/f.u.
ρ = 5.0 g/cm3
DFT formation energy = 0.407 eV per atom
calculated total energy = -0.127 hartree per atom

[3]
DFT (PBE-GGA) results for a geometry-optimized BaCaNi structure.

```
BaCaNi
1.0
7.481 0.000 0.509
0.000 8.524 0.000
-3.052 0.000 6.628
Ba Ca Ni
4 4 4
Direct
0.987 0.375 0.251
0.487 0.125 0.251
0.513 0.875 0.749
0.013 0.625 0.749
0.983 0.124 0.716
0.483 0.376 0.716
0.017 0.876 0.284
0.517 0.624 0.284
0.759 0.875 0.488
0.241 0.125 0.512
0.741 0.375 0.512
0.259 0.625 0.488
```

Results
DOS at the Fermi energy = 1.46 states/eV/f.u.
ρ = 3.6 g/cm3
DFT formation energy = 0.039 eV per atom
calculated total energy = -0.117 hartree per atom

[4]
DFT (PBE-GGA) results for a geometry-optimized BaCa3Ni structure.

```
BaCa3Ni
1.0
-4.481 -2.489 4.340
4.186 -5.633 1.091
3.697 3.921 6.065
Ca Ba Ni
6 2 2
Direct
0.427 0.828 0.952
0.427 0.828 0.449
0.927 0.524 0.452
0.930 0.990 0.701
0.927 0.524 0.949
0.430 0.362 0.201
0.920 0.017 0.201
0.419 0.336 0.701
0.675 0.668 0.200
0.174 0.685 0.700
```

Results
DOS at the Fermi energy = 3.10 states/eV/f.u.
ρ = 2.7 g/cm3
DFT formation energy = -0.042 eV per atom
calculated total energy = -0.102 hartree per atom

[5]
DFT (PBE-GGA) results for a geometry-optimized BaCaNi2 structure.

```
BaCaNi2
1.0
8.130 0.008 0.019
-3.286 3.979 -0.016
1.557 1.290 2.928
Ni Ca Ba
2 1 1
Direct
0.500 0.000 0.500
0.000 0.000 0.000
0.500 0.500 0.000
0.000 0.500 0.500
```

Results
DOS at the Fermi energy = 3.23 states/eV/f.u.
ρ = 5.2 g/cm3
DFT formation energy = 0.202 eV per atom
calculated total energy = -0.135 hartree per atom

[6]
DFT (PBE-GGA) results for a geometry-optimized BaCa3Ni structure.

```
BaCa3Ni
1.0
-1.518 -5.472 -0.894
4.540 -0.694 -3.459
3.184 -1.619 4.505
Ca Ni Ba
3 1 1
Direct
0.500 0.000 0.000
0.000 0.500 0.000
0.000 0.000 0.500
0.500 0.500 0.500
0.000 0.000 0.000
```

Results
DOS at the Fermi energy = 8.62 states/eV/f.u.
ρ = 2.8 g/cm3
DFT formation energy = 1.515 eV per atom
calculated total energy = -0.045 hartree per atom

[7]
DFT (PBE-GGA) results for a geometry-optimized BaCa4Ni structure.

```
BaCa4Ni
1.0
0.000 4.978 4.978
4.978 0.000 4.978
4.978 4.978 0.000
Ca Ba Ni
4 1 1
Direct
0.376 0.376 0.376
0.376 0.873 0.376
0.873 0.376 0.376
0.376 0.376 0.873
0.000 0.000 0.000
0.750 0.750 0.750
```

Results
DOS at the Fermi energy = 11.06 states/eV/f.u.
ρ = 2.4 g/cm3
DFT formation energy = 0.556 eV per atom
calculated total energy = -0.076 hartree per atom

[8]
DFT (PBE-GGA) results for a geometry-optimized BaCaNi2 structure.

```
BaCaNi2
1.0
6.062 0.046 0.000
3.082 5.220 0.000
-4.572 -2.633 2.985
Ca Ni Ba
1 2 1
Direct
0.750 0.250 0.500
0.000 0.000 0.000
0.250 0.750 0.500
0.500 0.500 0.000
```

Results
DOS at the Fermi energy = 1.48 states/eV/f.u.
ρ = 5.2 g/cm3
DFT formation energy = 0.341 eV per atom
calculated total energy = -0.130 hartree per atom